Sb2Pt2O7: relaxed, PBE.

Structure (POSCAR):
```
Sb2Pt2O7
1.0
1.7809 -4.9878 5.0207
5.1056 2.6284 -4.5036
-2.8002 4.2582 5.2235
O Sb Pt
14 4 4
direct
0.5385 0.0770 0.0385
0.9615 0.9230 0.4615
0.9615 0.5000 0.4615
0.7885 0.5770 0.7885
0.2115 0.0000 0.2115
0.2115 0.0000 0.7885
0.7885 0.0000 0.7885
0.9615 0.5000 0.0385
0.5385 0.5000 0.0385
0.2115 0.4230 0.2115
0.7885 0.0000 0.2115
0.2500 0.5000 0.7500
0.5000 0.0000 0.5000
0.5385 0.5000 0.4615
0.3750 0.7500 0.6250
0.3750 0.7500 0.1250
0.3750 0.2500 0.6250
0.8750 0.2500 0.6250
0.8750 0.2500 0.1250
0.8750 0.7500 0.1250
0.3750 0.2500 0.1250
0.8750 0.7500 0.6250
```

Computed properties:
Electronic total energy in hartree per atom: -0.2131
ρ in kg/m³: 9011